NdGd2NiSn3Pt2 after structural relaxation, computed with PBE-GGA.

Cell and atoms, written as POSCAR:
```
NdGd2NiSn3Pt2
1.0
3.993 0.000 0.000
0.000 6.567 3.779
0.000 -6.567 3.779
Nd Gd Ni Sn Pt
1 2 1 3 2
Direct
0.000 0.000 0.000 Nd
0.000 0.185 0.592 Gd
0.000 0.592 0.185 Gd
0.000 0.589 0.589 Ni
0.500 0.346 0.346 Sn
0.500 0.590 0.837 Sn
0.500 0.837 0.590 Sn
0.500 0.263 0.923 Pt
0.500 0.923 0.263 Pt
```

Summary:
Density in Mg/m³: 10.59
Final energy in eV per atom: -5.826

NdGd2Si4Ni4 after structural relaxation, computed with PBE-GGA.

Cell and atoms, written as POSCAR:
```
NdGd2Si4Ni4
1.0
-2.023 2.028 11.561
2.023 -2.028 11.561
2.023 2.028 -11.561
Nd Gd Si Ni
1 2 4 4
Direct
0.000 0.000 0.000 Nd
0.350 0.850 0.500 Gd
0.650 0.150 0.500 Gd
0.199 0.699 0.500 Si
0.447 0.447 0.000 Si
0.553 0.553 0.000 Si
0.801 0.301 0.500 Si
0.100 0.600 0.500 Ni
0.249 0.249 0.000 Ni
0.751 0.751 0.000 Ni
0.900 0.400 0.500 Ni
```

Summary:
Density in Mg/m³: 7.05
Final energy in eV per atom: -6.085

NdGdSi2Ni2 after structural relaxation, computed with PBE-GGA.

Cell and atoms, written as POSCAR:
```
NdGdSi2Ni2
1.0
4.111 0.000 0.000
0.000 4.111 0.000
0.000 0.000 6.626
Nd Gd Si Ni
1 1 2 2
Direct
0.000 0.000 0.000 Nd
0.500 0.500 0.368 Gd
0.000 0.000 0.490 Si
0.500 0.500 0.857 Si
0.000 0.500 0.675 Ni
0.500 0.000 0.675 Ni
```

Summary:
Density in Mg/m³: 7.04
Final energy in eV per atom: -5.977

NdGdSi4Ni2 after structural relaxation, computed with PBE-GGA.

Cell and atoms, written as POSCAR:
```
NdGdSi4Ni2
1.0
4.042 0.000 0.000
0.000 2.047 8.191
0.000 -2.047 8.191
Nd Gd Si Ni
1 1 4 2
Direct
0.000 0.000 0.000 Nd
0.500 0.212 0.212 Gd
0.000 0.354 0.354 Si
0.000 0.647 0.647 Si
0.500 0.566 0.566 Si
0.500 0.855 0.855 Si
0.000 0.785 0.785 Ni
0.500 0.425 0.425 Ni
```

Summary:
Density in Mg/m³: 6.51
Final energy in eV per atom: -6.114

NdGd2Ni4Sn4 after structural relaxation, computed with PBE-GGA.

Cell and atoms, written as POSCAR:
```
NdGd2Ni4Sn4
1.0
-2.209 3.547 7.178
2.209 -3.547 7.178
2.209 3.547 -7.178
Nd Gd Ni Sn
1 2 4 4
Direct
0.000 0.000 0.000 Nd
0.368 0.868 0.500 Gd
0.632 0.132 0.500 Gd
0.012 0.321 0.691 Ni
0.369 0.679 0.691 Ni
0.631 0.321 0.309 Ni
0.988 0.679 0.309 Ni
0.218 0.218 0.000 Sn
0.300 0.500 0.800 Sn
0.700 0.500 0.200 Sn
0.782 0.782 0.000 Sn
```

Summary:
Density in Mg/m³: 8.62
Final energy in eV per atom: -5.316

NdGd2O3 after structural relaxation, computed with PBE-GGA.

Cell and atoms, written as POSCAR:
```
NdGd2O3
1.0
3.458 0.000 0.000
-1.729 2.995 0.000
0.000 0.000 8.556
Nd Gd O
1 2 3
Direct
0.000 0.000 0.000 Nd
0.333 0.667 0.665 Gd
0.667 0.333 0.335 Gd
0.000 0.000 0.500 O
0.333 0.667 0.190 O
0.667 0.333 0.810 O
```

Summary:
Density in Mg/m³: 9.50
Final energy in eV per atom: -7.606